A plane-wave DFT calculation with GGA-PBE was carried out for TbSiHg after structural relaxation.

Computed properties:
Raw formation energy in eV per atom: -0.539
Space group: Cmcm, No. 63

Cell lengths 3.8756, 4.1796, 8.4903 Å; angles 75.75, 90.00, 90.00 degrees
Last column: nearest neighbours and their distance in Å.
Fractional positions:
Si1 0.2500 0.5429 0.9143  2 Si 2.40
Si2 0.7500 0.4571 0.0857  2 Si 2.40
Hg1 0.2500 0.7115 0.5771  1 Si 2.77
Hg2 0.7500 0.2885 0.4229  1 Si 2.77
Tb1 0.2500 0.9053 0.1894  6 Si 2.98-3.08, 1 Hg 3.19
Tb2 0.7500 0.0947 0.8106  6 Si 2.98-3.08, 1 Hg 3.19

***

A plane-wave DFT calculation with GGA-PBE was carried out for Tb6Pr2Er3 after structural relaxation.

Computed properties:
Formation energy from the elements in meV/atom: 273
Space group: I4/mmm, No. 139

Cell lengths 4.7430, 4.7430, 17.0608 Å; angles 97.99, 97.99, 90.00 degrees
Last column: nearest neighbours and their distance in Å.
Fractional positions:
Er1 0.0000 0.0000 0.0000  8 Pr 3.69
Er2 0.2008 0.2008 0.4015  9 Tb 3.36-3.52
Er3 0.7992 0.7992 0.5985  9 Tb 3.36-3.52
Tb1 0.6971 0.6971 0.3943  5 Er 3.36-3.42, 4 Tb 3.43
Tb2 0.1229 0.6229 0.2459  6 Tb 3.35-3.43, 2 Pr 3.49, 2 Er 3.52
Tb3 0.6229 0.1229 0.2459  6 Tb 3.35-3.43, 2 Pr 3.49, 2 Er 3.52
Tb4 0.8771 0.3771 0.7541  6 Tb 3.35-3.43, 2 Pr 3.49, 2 Er 3.52
Tb5 0.3029 0.3029 0.6057  5 Er 3.36-3.42, 4 Tb 3.43
Tb6 0.3771 0.8771 0.7541  6 Tb 3.35-3.43, 2 Pr 3.49, 2 Er 3.52
Pr1 0.4537 0.4537 0.9074  1 Pr 3.10
Pr2 0.5463 0.5463 0.0926  1 Pr 3.10

***

Number 1: total magnetization 0.000 μB/atom, distance to the lowest polymorph of the same formula 0.000 eV/atom. Number 2: total magnetization 0.000 μB/atom, distance to the lowest polymorph of the same formula 0.096 eV/atom.